(a)
A plane-wave DFT calculation with GGA-PBE was carried out for a relaxed structure of Ac2PrNd4.

Lattice parameters (Å, degrees): 8.9779 6.6010 9.7427 89.84 86.33 111.37
Last column: nearest neighbours and their distance in Å.
Element x y z (fractional)
Nd (0.9523, 0.4636, 0.1468)  3 Pr 3.69-3.88, 5 Nd 3.70-3.80, 4 Ac 3.80-3.95
Nd (0.5202, 0.7565, 0.7182)  6 Nd 3.72-3.97, 4 Ac 3.73-3.76, 2 Pr 3.77-3.88
Ac (0.6608, 0.6457, 0.3666)  8 Nd 3.73-3.87, 2 Pr 3.82-3.84, 2 Ac 3.86
Nd (0.2256, 0.9273, 0.9298)  1 Pr 3.69, 7 Nd 3.70-3.85, 4 Ac 3.77-3.82
Nd (0.9515, 0.7997, 0.6404)  6 Nd 3.67-3.90, 2 Pr 3.72-3.78, 4 Ac 3.73-3.86
Ac (0.6557, 0.3224, 0.8482)  8 Nd 3.73-3.95, 2 Pr 3.79-3.95, 2 Ac 3.81-3.86
Ac (0.0953, 0.3638, 0.7869)  9 Nd 3.74-3.86, 2 Pr 3.75-3.80, 1 Ac 3.86
Nd (0.8067, 0.2142, 0.4967)  6 Nd 3.70-3.90, 1 Pr 3.70, 5 Ac 3.75-3.84
Pr (0.8061, 0.8822, 0.0011)  7 Nd 3.69-3.88, 5 Ac 3.77-3.95
Pr (0.2249, 0.5977, 0.4286)  9 Nd 3.69-3.88, 3 Ac 3.75-3.82
Nd (0.0906, 0.0361, 0.2844)  7 Nd 3.70-3.80, 3 Pr 3.76-3.81, 2 Ac 3.77-3.81
Nd (0.3714, 0.1607, 0.5698)  6 Nd 3.67-3.97, 4 Ac 3.73-3.78, 2 Pr 3.76-3.86
Ac (0.5172, 0.0750, 0.2098)  7 Nd 3.77-3.82, 2 Pr 3.77-3.82, 3 Ac 3.81-3.86
Nd (0.3717, 0.5049, 0.0727)  5 Nd 3.70-3.85, 5 Ac 3.74-3.87, 2 Pr 3.76-3.80

## Properties
* symmetry: P1, No. 1

***

(b)
A plane-wave DFT calculation with GGA-PBE was carried out for a relaxed structure of Ac2PrNd4.

Lattice parameters (Å, degrees): 5.8112 5.8112 10.0294 106.84 106.84 90.00
Last column: nearest neighbours and their distance in Å.
Element x y z (fractional)
Ac (0.6271, 0.6271, 0.2542)  5 Nd 3.66-3.72
Nd (0.8270, 0.8270, 0.6539)  1 Pr 3.17
Nd (0.1730, 0.1730, 0.3461)  1 Pr 3.17
Ac (0.3729, 0.3729, 0.7458)  5 Nd 3.66-3.72
Nd (0.0000, 0.5000, 0.0000)  2 Pr 2.91
Nd (0.5000, 0.0000, 0.0000)  2 Pr 2.91
Pr (0.0000, 0.0000, 0.0000)  6 Nd 2.91-3.17

## Properties
* symmetry: I4/mmm, No. 139

***

Of all the structures shown, which is most stable? (a), and (b) is the least stable.